Compound: SmV2F8
Source: Alexandria
Functional: GGA+U
Structure: optimized geometry

- E_tot (Ha/atom) = -0.2302
- space-group type = C2/m, No. 12
- total magnetic moment (μB/cell) = 5.00

abc: 5.391 5.587 5.587
angles: 70.86 99.75 99.75
Site moments in Bohr magnetons follow the coordinates.
Fractional coordinates of all 11 atoms:
Sm 0.000 0.000 0.000  0.01
V 0.473 0.686 0.686  2.37
V 0.527 0.314 0.314  2.37
F 0.288 0.361 0.959  0.00
F 0.712 0.041 0.639  0.00
F 0.262 0.846 0.846  0.00
F 0.738 0.154 0.154  0.00
F 0.288 0.959 0.361  0.00
F 0.712 0.639 0.041  0.00
F 0.728 0.551 0.551  -0.02
F 0.272 0.449 0.449  -0.02

=====

Compound: Sm2VF
Source: Alexandria
Functional: GGA+U
Structure: optimized geometry

- E_tot (Ha/atom) = -0.1884
- space-group type = R-3m, No. 166
- total magnetic moment (μB/cell) = 2.88

abc: 3.262 3.262 10.086
angles: 80.69 80.69 60.00
Site moments in Bohr magnetons follow the coordinates.
Fractional coordinates of all 4 atoms:
F 0.500 0.500 0.500  -0.01
Sm 0.101 0.101 0.696  -0.09
Sm 0.899 0.899 0.304  -0.09
V 0.000 0.000 0.000  2.77